# LiPmH6Pt

Crystalline LiPmH6Pt at its relaxed geometry (PBE, Alexandria via LeMat-Bulk).

Cell and atoms, written as CIF:
```
data_LiPmH6Pt
_cell_length_a 4.5578
_cell_length_b 4.5578
_cell_length_c 4.4115
_cell_angle_alpha 90.00
_cell_angle_beta 90.00
_cell_angle_gamma 120.00
_space_group_name_H-M_alt 'P -6 m 2'
_space_group_IT_number 187
_space_group_name_Hall 'P -6 2'
loop_
_atom_site_label
_atom_site_type_symbol
_atom_site_fract_x
_atom_site_fract_y
_atom_site_fract_z
_atom_site_occupancy
Li1 Li 0.0000 0.0000 0.0000 1
Pm1 Pm 0.6667 0.3333 0.5000 1
H1 H 0.1752 0.3504 0.2737 1
Pt1 Pt 0.3333 0.6667 0.0000 1
```

N(E_F) = 0.161 states/eV/atom
DFT total energy = -0.2949 Ry per atom